# 1
A relaxed Ce2PmS3 crystal. Source: Alexandria, functional GGA-PBE.

The structure in CIF format:
```
data_Ce2PmS3
_chemical_formula_sum 'Ce2 Pm1 S3'
_cell_length_a 4.0219
_cell_length_b 5.6910
_cell_length_c 6.9657
_cell_angle_alpha 114.11
_cell_angle_beta 106.78
_cell_angle_gamma 90.00
_symmetry_space_group_name_H-M 'P 1'
_symmetry_Int_Tables_number 1
loop_
_symmetry_equiv_pos_as_xyz
'x,y,z'
loop_
_atom_site_label
_atom_site_type_symbol
_atom_site_fract_x
_atom_site_fract_y
_atom_site_fract_z
Pm1 Pm 0.5000 0.5000 0.5000
S1 S 0.8328 0.3328 0.1656
S2 S 0.1672 0.6672 0.8344
Ce1 Ce 0.1657 0.1657 0.8315
Ce2 Ce 0.8343 0.8343 0.1685
S3 S 0.5000 0.0000 0.5000
```

Properties
The density of states at the Fermi level comes out at 10.08 states/eV/f.u. For the total energy, the calculation gives -6.879 eV/atom.



# 2
A relaxed BeTlCl crystal. Source: Alexandria, functional GGA-PBE.

The structure in CIF format:
```
data_BeTlCl
_chemical_formula_sum 'Be1 Tl1 Cl1'
_cell_length_a 5.0555
_cell_length_b 5.0555
_cell_length_c 5.0555
_cell_angle_alpha 60.00
_cell_angle_beta 60.00
_cell_angle_gamma 60.00
_symmetry_space_group_name_H-M 'P 1'
_symmetry_Int_Tables_number 1
loop_
_symmetry_equiv_pos_as_xyz
'x,y,z'
loop_
_atom_site_label
_atom_site_type_symbol
_atom_site_fract_x
_atom_site_fract_y
_atom_site_fract_z
Tl1 Tl 0.7500 0.7500 0.7500
Cl1 Cl 0.5000 0.5000 0.5000
Be1 Be 0.0000 0.0000 0.0000
```

Properties
The density of states at the Fermi level comes out at 0.20 states/eV/f.u. As for the energy above the lowest structure with this stoichiometry: 0.595 eV/atom.



# 3
A relaxed Tl2Ag3PbI8 crystal. Source: Alexandria, functional GGA-PBE.

The structure in CIF format:
```
data_Tl2Ag3PbI8
_chemical_formula_sum 'Tl2 Ag3 Pb1 I8'
_cell_length_a 9.0949
_cell_length_b 9.0949
_cell_length_c 9.6493
_cell_angle_alpha 61.88
_cell_angle_beta 61.88
_cell_angle_gamma 60.00
_symmetry_space_group_name_H-M 'P 1'
_symmetry_Int_Tables_number 1
loop_
_symmetry_equiv_pos_as_xyz
'x,y,z'
loop_
_atom_site_label
_atom_site_type_symbol
_atom_site_fract_x
_atom_site_fract_y
_atom_site_fract_z
I1 I 0.2656 0.7594 0.2156
I2 I 0.2410 0.7251 0.7929
Tl1 Tl 0.4998 0.4998 0.5007
Ag1 Ag 0.4982 0.0111 0.9924
I3 I 0.2410 0.2410 0.7929
I4 I 0.7594 0.7594 0.2156
Tl2 Tl 0.1334 0.1334 0.5999
Pb1 Pb 0.8666 0.8666 0.4002
I5 I 0.7244 0.7244 0.8267
I6 I 0.2694 0.2694 0.1917
Ag2 Ag 0.4982 0.4982 0.9924
I7 I 0.7251 0.2410 0.7929
I8 I 0.7594 0.2656 0.2156
Ag3 Ag 0.0111 0.4982 0.9924
```

Properties
The density of states at the Fermi level comes out at 7.36 states/eV/f.u. For the total energy, the calculation gives -2.443 eV/atom.



# 4
A relaxed NdTmLuIn crystal. Source: Alexandria, functional GGA-PBE.

The structure in CIF format:
```
data_NdTmLuIn
_chemical_formula_sum 'Nd1 Tm1 Lu1 In1'
_cell_length_a 5.4512
_cell_length_b 5.4512
_cell_length_c 5.4512
_cell_angle_alpha 60.00
_cell_angle_beta 60.00
_cell_angle_gamma 60.00
_symmetry_space_group_name_H-M 'P 1'
_symmetry_Int_Tables_number 1
loop_
_symmetry_equiv_pos_as_xyz
'x,y,z'
loop_
_atom_site_label
_atom_site_type_symbol
_atom_site_fract_x
_atom_site_fract_y
_atom_site_fract_z
Lu1 Lu 0.7500 0.7500 0.7500
In1 In 0.2500 0.2500 0.2500
Tm1 Tm 0.5000 0.5000 0.5000
Nd1 Nd 0.0000 0.0000 0.0000
```

Properties
The density of states at the Fermi level comes out at 6.44 states/eV/f.u. The formation energy is -0.1406 eV per atom.



# 5
A relaxed Sn2PdAu crystal. Source: Alexandria, functional GGA-PBE.

The structure in CIF format:
```
data_Sn2PdAu
_chemical_formula_sum 'Sn2 Pd1 Au1'
_cell_length_a 3.4821
_cell_length_b 3.4821
_cell_length_c 6.8699
_cell_angle_alpha 90.00
_cell_angle_beta 90.00
_cell_angle_gamma 90.00
_symmetry_space_group_name_H-M 'P 1'
_symmetry_Int_Tables_number 1
loop_
_symmetry_equiv_pos_as_xyz
'x,y,z'
loop_
_atom_site_label
_atom_site_type_symbol
_atom_site_fract_x
_atom_site_fract_y
_atom_site_fract_z
Sn1 Sn 0.0000 0.0000 0.2380
Au1 Au 0.5000 0.5000 0.5000
Pd1 Pd 0.5000 0.5000 0.0000
Sn2 Sn 0.0000 0.0000 0.7620
```

Properties
The density of states at the Fermi level comes out at 1.19 states/eV/f.u. The formation energy is -0.1917 eV per atom. As for the energy above the lowest structure with this stoichiometry: 0.162 eV/atom.



# 6
A relaxed TbMg8Ga6 crystal. Source: Alexandria, functional GGA-PBE.

The structure in CIF format:
```
data_TbMg8Ga6
_chemical_formula_sum 'Tb1 Mg8 Ga6'
_cell_length_a 8.2366
_cell_length_b 8.2366
_cell_length_c 7.4414
_cell_angle_alpha 56.40
_cell_angle_beta 56.40
_cell_angle_gamma 60.00
_symmetry_space_group_name_H-M 'P 1'
_symmetry_Int_Tables_number 1
loop_
_symmetry_equiv_pos_as_xyz
'x,y,z'
loop_
_atom_site_label
_atom_site_type_symbol
_atom_site_fract_x
_atom_site_fract_y
_atom_site_fract_z
Tb1 Tb 0.0000 0.0000 0.0000
Ga1 Ga 0.7155 0.3950 0.8324
Mg1 Mg 0.7769 0.1102 0.6555
Ga2 Ga 0.6050 0.9429 0.1676
Ga3 Ga 0.9429 0.2845 0.1676
Ga4 Ga 0.3950 0.0571 0.8324
Ga5 Ga 0.0571 0.7155 0.8324
Ga6 Ga 0.2845 0.6050 0.1676
Mg2 Mg 0.3360 0.3360 0.9921
Mg3 Mg 0.2231 0.8898 0.3445
Mg4 Mg 0.6640 0.6640 0.0079
Mg5 Mg 0.8898 0.5427 0.3445
Mg6 Mg 0.5427 0.2231 0.3445
Mg7 Mg 0.4573 0.7769 0.6555
Mg8 Mg 0.1102 0.4573 0.6555
```

Properties
The density of states at the Fermi level comes out at 8.09 states/eV/f.u. The formation energy is -0.1035 eV per atom.



# 7
A relaxed CaZnP2 crystal. Source: Alexandria, functional GGA-PBE.

The structure in CIF format:
```
data_CaZnP2
_chemical_formula_sum 'Ca1 Zn1 P2'
_cell_length_a 3.1755
_cell_length_b 4.4554
_cell_length_c 5.9922
_cell_angle_alpha 90.00
_cell_angle_beta 90.00
_cell_angle_gamma 90.00
_symmetry_space_group_name_H-M 'P 1'
_symmetry_Int_Tables_number 1
loop_
_symmetry_equiv_pos_as_xyz
'x,y,z'
loop_
_atom_site_label
_atom_site_type_symbol
_atom_site_fract_x
_atom_site_fract_y
_atom_site_fract_z
Ca1 Ca 0.5000 0.5000 0.8562
P1 P 0.5000 0.5000 0.3734
P2 P 0.0000 0.0000 0.9341
Zn1 Zn 0.0000 0.0000 0.3363
```

Properties
The density of states at the Fermi level comes out at 2.89 states/eV/f.u. The formation energy is -0.1137 eV per atom.



# 8
A relaxed LiB3Rh crystal. Source: Alexandria, functional GGA-PBE.

The structure in CIF format:
```
data_LiB3Rh
_chemical_formula_sum 'Li1 B3 Rh1'
_cell_length_a 3.5697
_cell_length_b 3.5697
_cell_length_c 3.5697
_cell_angle_alpha 90.00
_cell_angle_beta 90.00
_cell_angle_gamma 90.00
_symmetry_space_group_name_H-M 'P 1'
_symmetry_Int_Tables_number 1
loop_
_symmetry_equiv_pos_as_xyz
'x,y,z'
loop_
_atom_site_label
_atom_site_type_symbol
_atom_site_fract_x
_atom_site_fract_y
_atom_site_fract_z
Rh1 Rh 0.5000 0.5000 0.5000
B1 B 0.0000 0.0000 0.5000
B2 B 0.5000 0.0000 0.0000
B3 B 0.0000 0.5000 0.0000
Li1 Li 0.0000 0.0000 0.0000
```

Properties
The density of states at the Fermi level comes out at 3.29 states/eV/f.u. The formation energy is 1.7617 eV per atom. As for the energy above the lowest structure with this stoichiometry: 0.923 eV/atom.